1.
# YPaAlHg, relaxed, DFT PBE
# N(E_F), states/eV per atom: 1.5433
# Magnetization, μB/cell: 3.98
data_YPaAlHg
_chemical_formula_sum 'Y4 Pa4 Al4 Hg4'
_cell_length_a 7.3576
_cell_length_b 7.3576
_cell_length_c 7.3576
_cell_angle_alpha 90.00
_cell_angle_beta 90.00
_cell_angle_gamma 90.00
_symmetry_space_group_name_H-M 'F -4 3 m'
_symmetry_Int_Tables_number 216
_symmetry_space_group_name_Hall 'F -4 2 3'
loop_
_atom_site_label
_atom_site_fract_x
_atom_site_fract_y
_atom_site_fract_z
_atom_site_occupancy
Y1 0.0000 0.0000 0.0000 1
Pa1 0.0000 0.0000 0.5000 1
Al1 0.2500 0.2500 0.7500 1
Hg1 0.2500 0.2500 0.2500 1

2.
# PaAlZnHg, relaxed, DFT PBE
# N(E_F), states/eV per atom: 0.5510
# Magnetization, μB/cell: 0.00
data_PaAlZnHg
_chemical_formula_sum 'Pa4 Al4 Zn4 Hg4'
_cell_length_a 6.9408
_cell_length_b 6.9408
_cell_length_c 6.9408
_cell_angle_alpha 90.00
_cell_angle_beta 90.00
_cell_angle_gamma 90.00
_symmetry_space_group_name_H-M 'F -4 3 m'
_symmetry_Int_Tables_number 216
_symmetry_space_group_name_Hall 'F -4 2 3'
loop_
_atom_site_label
_atom_site_fract_x
_atom_site_fract_y
_atom_site_fract_z
_atom_site_occupancy
Pa1 0.0000 0.0000 0.0000 1
Al1 0.0000 0.0000 0.5000 1
Zn1 0.2500 0.2500 0.2500 1
Hg1 0.2500 0.2500 0.7500 1

3.
# AlHg3Pb12, relaxed, DFT PBE
# N(E_F), states/eV per atom: 0.3696
# Magnetization, μB/cell: 0.00
data_AlHg3Pb12
_chemical_formula_sum 'Al1 Hg3 Pb12'
_cell_length_a 4.8239
_cell_length_b 4.8239
_cell_length_c 20.3019
_cell_angle_alpha 90.00
_cell_angle_beta 90.00
_cell_angle_gamma 90.00
_symmetry_space_group_name_H-M 'P 4/m m m'
_symmetry_Int_Tables_number 123
_symmetry_space_group_name_Hall '-P 4 2'
loop_
_atom_site_label
_atom_site_fract_x
_atom_site_fract_y
_atom_site_fract_z
_atom_site_occupancy
Al1 0.0000 0.0000 0.0000 1
Hg1 0.0000 0.0000 0.2480 1
Hg2 0.0000 0.0000 0.5000 1
Pb1 0.0000 0.5000 0.1213 1
Pb2 0.0000 0.5000 0.3743 1
Pb3 0.5000 0.5000 0.0000 1
Pb4 0.5000 0.5000 0.2486 1
Pb5 0.5000 0.5000 0.5000 1

4.
# Al3HgPb, relaxed, DFT PBE
# N(E_F), states/eV per atom: 0.6435
# Polymorph energy (0 for the lowest one), eV/atom: 0.0000
# Magnetization, μB/cell: 0.00
data_Al3HgPb
_chemical_formula_sum 'Al3 Hg1 Pb1'
_cell_length_a 5.1182
_cell_length_b 5.1182
_cell_length_c 5.1182
_cell_angle_alpha 90.00
_cell_angle_beta 90.00
_cell_angle_gamma 90.00
_symmetry_space_group_name_H-M 'P m -3 m'
_symmetry_Int_Tables_number 221
_symmetry_space_group_name_Hall '-P 4 2 3'
loop_
_atom_site_label
_atom_site_fract_x
_atom_site_fract_y
_atom_site_fract_z
_atom_site_occupancy
Al1 0.0000 0.0000 0.5000 1
Hg1 0.0000 0.0000 0.0000 1
Pb1 0.5000 0.5000 0.5000 1

5.
# AlHg2Pb, relaxed, DFT PBE
# N(E_F), states/eV per atom: 0.5878
# Magnetization, μB/cell: 0.00
data_AlHg2Pb
_chemical_formula_sum 'Al2 Hg4 Pb2'
_cell_length_a 4.7683
_cell_length_b 4.7683
_cell_length_c 8.8273
_cell_angle_alpha 90.00
_cell_angle_beta 90.00
_cell_angle_gamma 90.00
_symmetry_space_group_name_H-M 'I -4 m 2'
_symmetry_Int_Tables_number 119
_symmetry_space_group_name_Hall 'I -4 -2'
loop_
_atom_site_label
_atom_site_fract_x
_atom_site_fract_y
_atom_site_fract_z
_atom_site_occupancy
Al1 0.0000 0.0000 0.0000 1
Hg1 0.0000 0.0000 0.5000 1
Hg2 0.0000 0.5000 0.7500 1
Pb1 0.0000 0.5000 0.2500 1

6.
# Al4HgPb, relaxed, DFT PBE
# N(E_F), states/eV per atom: 0.5476
# Magnetization, μB/cell: 0.00
data_Al4HgPb
_chemical_formula_sum 'Al16 Hg4 Pb4'
_cell_length_a 8.0062
_cell_length_b 8.0062
_cell_length_c 8.0062
_cell_angle_alpha 90.00
_cell_angle_beta 90.00
_cell_angle_gamma 90.00
_symmetry_space_group_name_H-M 'F -4 3 m'
_symmetry_Int_Tables_number 216
_symmetry_space_group_name_Hall 'F -4 2 3'
loop_
_atom_site_label
_atom_site_fract_x
_atom_site_fract_y
_atom_site_fract_z
_atom_site_occupancy
Al1 0.1246 0.1246 0.1246 1
Hg1 0.2500 0.2500 0.7500 1
Pb1 0.0000 0.0000 0.5000 1

Listing calculated formation energy for the structures above in their given order: -0.261, 0.097, 0.760, 2.953, 0.747, 1.188 eV/f.u..